[1]
An optimized crystal structure of Tb7Sb2Te2. Source: the Alexandria database, functional GGA-PBE.

Geometry as POSCAR:
```
Tb7Sb2Te2
1.0
-4.339 1.703 -5.393
-3.578 -5.878 1.024
-3.577 3.105 5.326
Tb Sb Te
7 2 2
Cartesian
-7.086 1.683 -2.452 Tb
-3.127 -0.722 -2.419 Tb
0.000 0.000 0.000 Tb
-4.409 -2.753 3.410 Tb
-6.599 -1.934 0.720 Tb
-4.895 0.865 0.238 Tb
-8.368 -0.348 3.377 Tb
-8.106 0.898 0.459 Sb
-3.388 -1.968 0.499 Sb
-3.789 2.715 2.347 Te
-7.706 -3.785 -1.389 Te
```

* crystal system: orthorhombic
* SG: Cmmm (65)

=====

[2]
An optimized crystal structure of Tb4Sb3Te. Source: the Alexandria database, functional GGA-PBE.

Geometry as POSCAR:
```
Tb4Sb3Te
1.0
4.397 0.000 0.000
0.000 6.215 0.000
0.000 0.000 8.795
Tb Te Sb
4 1 3
Cartesian
0.000 3.108 4.398 Tb
2.199 0.000 6.529 Tb
2.199 0.000 2.266 Tb
0.000 3.108 0.000 Tb
0.000 0.000 0.000 Te
2.199 3.108 6.611 Sb
0.000 0.000 4.398 Sb
2.199 3.108 2.185 Sb
```

* crystal system: orthorhombic
* polymorph energy (0 for the lowest one): 0.00 kcal/mol of atoms
* SG: Pmmm (47)

=====

[3]
An optimized crystal structure of Tb8Sb2Te. Source: the Alexandria database, functional GGA-PBE.

Geometry as POSCAR:
```
Tb8Sb2Te
1.0
-2.661 2.910 -1.076
-6.326 -6.468 -1.850
-0.992 -0.372 9.211
Tb Sb Te
8 2 1
Cartesian
-5.194 -1.841 0.101 Tb
-7.717 -5.585 3.977 Tb
-2.262 1.655 2.307 Tb
-1.612 -1.559 -0.230 Tb
-8.367 -2.371 6.514 Tb
-6.758 -2.098 3.274 Tb
-3.221 -1.832 3.010 Tb
-4.785 -2.088 6.183 Tb
-4.275 0.692 4.682 Sb
-5.704 -4.622 1.603 Sb
-1.330 1.455 -0.538 Te
```

* crystal system: monoclinic
* SG: C2/m (12)

=====

[4]
An optimized crystal structure of Tb6Sb3Te. Source: the Alexandria database, functional GGA-PBE.

Geometry as POSCAR:
```
Tb6Sb3Te
1.0
7.527 0.000 0.000
0.000 9.317 -0.090
0.000 -2.167 9.062
Tb Te Sb
12 2 6
Cartesian
5.538 4.885 0.742 Tb
1.195 5.335 5.548 Tb
1.889 -2.125 9.029 Tb
1.774 2.265 8.230 Tb
1.195 2.932 2.533 Tb
5.538 7.517 4.045 Tb
4.959 4.218 6.439 Tb
0.959 6.462 2.185 Tb
1.774 -0.367 4.927 Tb
4.722 0.688 6.787 Tb
5.653 9.276 -0.057 Tb
4.959 1.815 3.424 Tb
7.507 -0.221 7.512 Te
3.744 7.372 1.460 Te
7.432 0.149 2.529 Sb
6.367 4.576 3.688 Sb
2.604 2.574 5.284 Sb
3.668 2.432 0.710 Sb
3.668 7.001 6.443 Sb
7.432 4.718 8.262 Sb
```

* crystal system: orthorhombic
* SG: Cmc2_1 (36)

=====

[5]
An optimized crystal structure of Tb2SbTe. Source: the Alexandria database, functional GGA-PBE.

Geometry as POSCAR:
```
Tb2SbTe
1.0
4.388 0.000 0.000
2.194 3.800 0.000
2.194 1.267 7.186
Tb Te Sb
2 1 1
Cartesian
6.583 3.800 5.470 Tb
2.194 1.267 1.715 Tb
4.388 2.534 3.593 Te
0.000 0.000 0.000 Sb
```

* crystal system: trigonal
* polymorph energy (0 for the lowest one): 0.00 kcal/mol of atoms
* SG: R-3m (166)

=====

[6]
An optimized crystal structure of Tb2SbTe. Source: the Alexandria database, functional GGA-PBE.

Geometry as POSCAR:
```
Tb2SbTe
1.0
4.400 0.000 0.000
0.000 7.380 0.000
0.000 0.000 7.596
Sb Tb Te
2 4 2
Cartesian
3.300 1.845 0.655 Sb
1.100 5.535 6.941 Sb
1.100 0.009 1.829 Tb
3.300 3.699 5.767 Tb
1.100 3.681 1.829 Tb
3.300 7.371 5.767 Tb
1.100 1.845 4.418 Te
3.300 5.535 3.179 Te
```

* crystal system: orthorhombic
* polymorph energy (0 for the lowest one): 0.94 kcal/mol of atoms
* SG: Pmmn (59)

=====

no.,ΔE_f (raw) (eV per atom)
1,-0.53
2,-1.23
3,-0.60
4,-0.83
5,-1.28
6,-1.24